{"formula": "MgMoH", "functional": "PBE-GGA", "state": "relaxed", "mass_density_g_cm3": 5.3, "space_group": "P1", "dos_ef_per_ev_fu": 1.11, "energy_ev_per_atom": -5.162, "de_polymorph_ev_per_atom": 0.031, "lattice": [[2.884, 0.000, 0.000], [0.168, 4.414, 0.000], [1.285, 0.058, 5.953]], "species": ["Mg", "Mg", "Mo", "Mo", "H", "H"], "frac_coords": [[0.000, 0.000, 0.000], [0.402, 0.526, 0.309], [0.540, 0.503, 0.760], [0.874, 0.021, 0.551], [0.456, 0.314, 0.027], [0.470, 0.034, 0.342]]}